(1)
# P3IN

A relaxed structure of P3IN (GGA-PBEsol, Alexandria).

Calculated values
For the uncorrected formation energy, the calculation gives 2666 meV per atom. For the uncorrected energy, the calculation gives -2.87 eV/atom. As for the total magnetic moment: 1.38 Bohr magnetons per cell.

a = 5.1430 Å, b = 5.1430 Å, c = 5.1430 Å
α = 90.00°, β = 90.00°, γ = 90.00°
Closest atoms and distances in Å follow each position.
Sites, in units of the cell vectors:
P: 0.0000 0.0000 0.5000  2 I 2.57
P: 0.0000 0.5000 0.0000  2 I 2.57
P: 0.5000 0.0000 0.0000  2 I 2.57
I: 0.0000 0.0000 0.0000  6 P 2.57
N: 0.5000 0.5000 0.5000  12 P 3.64

(2)
# P2IN

A relaxed structure of P2IN (GGA-PBEsol, Alexandria).

Calculated values
For the uncorrected formation energy, the calculation gives 1781 meV per atom. For the uncorrected energy, the calculation gives -3.69 eV/atom. As for the total magnetic moment: 0.00 Bohr magnetons per cell.

a = 4.4640 Å, b = 4.4640 Å, c = 4.4640 Å
α = 60.00°, β = 60.00°, γ = 60.00°
Closest atoms and distances in Å follow each position.
Sites, in units of the cell vectors:
N: 0.0000 0.0000 0.0000  8 P 2.73
I: 0.5000 0.5000 0.5000  8 P 2.73
P: 0.2500 0.2500 0.2500  4 I 2.73, 4 N 2.73
P: 0.7500 0.7500 0.7500  4 I 2.73, 4 N 2.73

(3)
# PI2N

A relaxed structure of PI2N (GGA-PBEsol, Alexandria).

Calculated values
For the uncorrected formation energy, the calculation gives 1335 meV per atom. For the uncorrected energy, the calculation gives -3.13 eV/atom. As for the total magnetic moment: 0.00 Bohr magnetons per cell.

a = 6.0985 Å, b = 6.0985 Å, c = 6.0985 Å
α = 104.83°, β = 111.84°, γ = 111.84°
Closest atoms and distances in Å follow each position.
Sites, in units of the cell vectors:
P: 0.5000 0.7500 0.2500  4 I 2.76
P: 0.0000 0.0000 0.0000  4 I 2.76
I: 0.4635 0.8750 0.8385  2 N 2.43
I: 0.0365 0.1615 0.6250  2 N 2.43
I: 0.9635 0.5885 0.1250  2 N 2.43
I: 0.5365 0.3750 0.4115  2 N 2.43
N: 0.5000 0.2500 0.7500  4 I 2.43
N: 0.0000 0.5000 0.5000  4 I 2.43